Pm2ThPaAs4 after structural relaxation, computed with GGA-PBE.

POSCAR file:
```
Pm2ThPaAs4
1.0
7.273 0.000 0.000
0.000 4.206 0.000
-2.428 0.000 6.866
Pm Th Pa As
2 1 1 4
Cartesian
0.000 0.000 0.000 Pm
-1.214 2.103 3.433 Pm
2.422 0.000 3.433 Th
3.636 2.103 0.000 Pa
1.261 2.103 1.679 As
0.035 0.000 5.213 As
4.810 0.000 1.653 As
3.584 2.103 5.187 As
```

As for the formation energy: -1379.8 meV/atom. For the total magnetization, the calculation gives 0.000 μB per cell.

Ba3PmY2Se6 after structural relaxation, computed with GGA-PBE.

POSCAR file:
```
Ba3PmY2Se6
1.0
3.746 -6.481 0.000
3.746 6.481 0.000
-2.499 0.000 7.388
Ba Pm Y Se
3 1 2 6
Cartesian
0.000 0.000 0.000 Ba
3.746 2.133 0.000 Ba
3.746 -2.133 0.000 Ba
2.496 0.000 3.694 Pm
2.496 4.312 3.694 Y
2.496 -4.312 3.694 Y
1.225 2.200 2.100 Se
-0.048 0.000 5.272 Se
1.225 -2.200 2.100 Se
3.767 2.200 5.288 Se
5.040 0.000 2.116 Se
3.767 -2.200 5.288 Se
```

The value obtained for the energy relative to the elements, uncorrected is -1.897 eV/atom. For the total magnetization, the calculation gives 0.000 μB per cell.

Pt2RhPb4 after structural relaxation, computed with GGA-PBE.

POSCAR file:
```
Pt2RhPb4
1.0
4.168 0.000 0.000
0.009 6.967 0.000
2.078 3.471 5.880
Pt Rh Pb
2 1 4
Cartesian
1.041 1.738 0.073 Pt
5.214 8.700 5.806 Pt
1.039 1.736 2.940 Rh
1.051 6.258 1.519 Pb
3.132 7.456 4.313 Pb
3.123 2.982 1.567 Pb
5.204 4.180 4.360 Pb
```

As for the formation energy: -150.3 meV/atom. For the total magnetization, the calculation gives 0.000 μB per cell.

CsZr2Al after structural relaxation, computed with GGA-PBE.

POSCAR file:
```
CsZr2Al
1.0
-2.458 2.458 10.523
2.458 -2.458 10.523
2.458 2.458 -10.523
Cs Zr Al
2 4 2
Cartesian
0.000 0.000 0.000 Cs
0.000 2.458 5.262 Cs
1.229 1.831 -2.631 Zr
3.084 1.229 2.631 Zr
1.229 0.626 7.893 Zr
-0.626 1.229 13.154 Zr
2.458 0.000 5.262 Al
0.000 0.000 10.523 Al
```

As for the formation energy: 1066.4 meV/atom. For the total magnetization, the calculation gives 0.000 μB per cell.

Tm2Al3Zn2 after structural relaxation, computed with GGA-PBE.

POSCAR file:
```
Tm2Al3Zn2
1.0
2.169 -9.342 0.000
2.169 9.342 0.000
0.000 0.000 6.886
Tm Al Zn
4 6 4
Cartesian
2.169 8.494 5.164 Tm
2.169 6.395 1.721 Tm
2.169 -6.395 5.164 Tm
2.169 -8.494 1.721 Tm
2.169 5.215 5.164 Al
2.169 1.162 3.903 Al
2.169 1.162 6.426 Al
2.169 -1.162 0.460 Al
2.169 -1.162 2.983 Al
2.169 -5.215 1.721 Al
2.169 3.522 0.413 Zn
2.169 3.522 3.030 Zn
2.169 -3.522 3.856 Zn
2.169 -3.522 6.473 Zn
```

As for the formation energy: -373.0 meV/atom. For the total magnetization, the calculation gives 0.000 μB per cell. The energy above the most stable polymorph in this dataset is 0.000 eV per formula unit.

YTm4Sc3 after structural relaxation, computed with GGA-PBE.

POSCAR file:
```
YTm4Sc3
1.0
5.897 -3.421 0.000
5.897 3.421 0.000
-1.975 0.000 5.575
Y Tm Sc
1 4 3
Cartesian
0.000 0.000 0.000 Y
2.949 1.710 0.000 Tm
1.980 0.000 2.823 Tm
2.949 -1.710 0.000 Tm
7.840 0.000 2.751 Tm
4.910 1.686 2.787 Sc
5.897 0.000 0.000 Sc
4.910 -1.686 2.787 Sc
```

As for the formation energy: 53.9 meV/atom. For the total magnetization, the calculation gives 0.000 μB per cell. The energy above the most stable polymorph in this dataset is 0.281 eV per formula unit.

CaBeMo3 after structural relaxation, computed with GGA-PBE.

POSCAR file:
```
CaBeMo3
1.0
4.435 0.000 0.000
0.000 4.435 0.000
0.000 0.000 4.435
Ca Be Mo
1 1 3
Cartesian
0.000 0.000 0.000 Ca
2.218 2.218 2.218 Be
0.000 2.218 2.218 Mo
2.218 0.000 2.218 Mo
2.218 2.218 0.000 Mo
```

As for the formation energy: 947.5 meV/atom. For the total magnetization, the calculation gives 0.000 μB per cell. The energy above the most stable polymorph in this dataset is 0.000 eV per formula unit.

Fe2TcP after structural relaxation, computed with GGA-PBE.

POSCAR file:
```
Fe2TcP
1.0
2.946 0.000 0.000
0.000 2.946 0.000
0.000 0.000 5.599
Fe Tc P
2 1 1
Cartesian
0.000 0.000 0.000 Fe
1.473 1.473 1.289 Fe
1.473 1.473 3.955 Tc
0.000 0.000 2.589 P
```

As for the formation energy: -142.0 meV/atom. For the total magnetization, the calculation gives 4.418 μB per cell.